! TmFe6Ge12 | the Alexandria database | PBE-GGA | optimized geometry; values from VASP
&SYSTEM
  ibrav = 0, nat = 19, ntyp = 3
/
ATOMIC_SPECIES
Ge 72.64 Ge.upf
Fe 55.84 Fe.upf
Tm 168.93 Tm.upf
ATOMIC_POSITIONS crystal
Ge 0.291 0.467 0.177
Ge 0.823 0.709 0.533
Ge 0.533 0.823 0.709
Ge 0.177 0.709 0.886
Ge 0.709 0.886 0.177
Ge 0.886 0.177 0.709
Ge 0.467 0.177 0.291
Ge 0.177 0.291 0.467
Ge 0.114 0.823 0.291
Ge 0.709 0.533 0.823
Ge 0.291 0.114 0.823
Ge 0.823 0.291 0.114
Fe 0.356 0.500 0.856
Fe 0.856 0.356 0.500
Fe 0.644 0.500 0.144
Fe 0.500 0.144 0.644
Fe 0.500 0.856 0.356
Fe 0.144 0.644 0.500
Tm 0.000 0.000 0.000
CELL_PARAMETERS angstrom
-5.693 -2.452 -3.999
4.070 -5.726 2.252
-2.525 3.683 5.872
! N(E_F) = 0.87 states/eV per atom
! SG = Im-3 (204)
! mass density = 7.4 g/cm³
! formation energy from the elements = 0.16 eV/atom